(1)
CsBa2Mg PBE optimized geometry; ρ = 2.921 g/cm³; SG = R-3m, No. 166; N(E_F) = 6.07 states/eV/cell; E_form = 0.18 eV per atom
1.0
-1.905 -3.936 0.751
2.502 -3.650 0.318
1.456 -0.430 14.549
Cs Mg Ba
1 1 2
Direct
0.000 0.000 0.000
0.500 0.500 0.500
0.104 0.104 0.689
0.896 0.896 0.311



(2)
CsBaMg2 PBE optimized geometry; ρ = 2.825 g/cm³; SG = Fm-3m, No. 225; N(E_F) = 5.77 states/eV/cell; relative energy among the computed polymorphs = 0 meV per atom; E_form = 0.21 eV per atom
1.0
0.000 4.542 4.542
4.542 0.000 4.542
4.542 4.542 0.000
Cs Mg Ba
1 2 1
Direct
0.000 0.000 0.000
0.250 0.250 0.250
0.750 0.750 0.750
0.500 0.500 0.500



(3)
CsBaMg6 PBE optimized geometry; ρ = 2.349 g/cm³; SG = Amm2, No. 38; N(E_F) = 6.11 states/eV/cell; relative energy among the computed polymorphs = 4 meV per atom; E_form = 0.16 eV per atom
1.0
-7.083 1.010 -4.763
1.711 -7.018 4.657
-2.257 1.951 3.770
Cs Ba Mg
1 1 6
Direct
0.785 0.215 0.500
0.374 0.626 0.500
0.886 0.712 0.500
0.288 0.114 0.500
0.780 0.848 0.000
0.152 0.220 0.000
0.572 0.428 0.000
0.164 0.836 0.000



(4)
CsBa2Mg2 PBE optimized geometry; ρ = 2.915 g/cm³; SG = P4/mbm, No. 127; N(E_F) = 12.16 states/eV/cell; E_form = 0.10 eV per atom
1.0
10.389 0.000 0.000
0.000 10.389 0.000
0.000 0.000 4.815
Cs Mg Ba
2 4 4
Direct
0.000 0.000 0.000
0.500 0.500 0.000
0.382 0.882 0.000
0.882 0.618 0.000
0.618 0.118 0.000
0.118 0.382 0.000
0.158 0.658 0.500
0.658 0.842 0.500
0.842 0.342 0.500
0.342 0.158 0.500



(5)
CsBa2Mg PBE optimized geometry; ρ = 2.961 g/cm³; SG = P4/mmm, No. 123; N(E_F) = 4.37 states/eV/cell; E_form = 0.04 eV per atom
1.0
4.490 0.000 0.000
0.000 4.490 0.000
0.000 0.000 12.014
Cs Mg Ba
1 1 2
Direct
0.500 0.500 0.500
0.500 0.500 0.000
0.000 0.000 0.829
0.000 0.000 0.171



(6)
CsBaMg3 PBE optimized geometry; ρ = 2.165 g/cm³; SG = Pm-3m, No. 221; N(E_F) = 4.63 states/eV/cell; relative energy among the computed polymorphs = 121 meV per atom; E_form = 0.77 eV per atom
1.0
6.409 0.000 0.000
0.000 6.409 0.000
0.000 0.000 6.409
Cs Mg Ba
1 3 1
Direct
0.000 0.000 0.000
0.000 0.500 0.000
0.000 0.000 0.500
0.500 0.000 0.000
0.500 0.500 0.500



(7)
CsBaMg2Pt PBE optimized geometry; ρ = 4.809 g/cm³; SG = P4/mmm, No. 123; N(E_F) = 2.56 states/eV/cell; E_form = -0.25 eV per atom
1.0
5.417 0.000 0.000
0.000 5.417 0.000
0.000 0.000 6.048
Cs Mg Ba Pt
1 2 1 1
Direct
0.500 0.500 0.500
0.000 0.500 0.000
0.500 0.000 0.000
0.000 0.000 0.500
0.000 0.000 0.000



(8)
Cs2BaMgRu PBE optimized geometry; ρ = 2.267 g/cm³; SG = P4/mmm, No. 123; N(E_F) = 6.65 states/eV/cell; E_form = 1.64 eV per atom
1.0
7.716 0.000 0.000
0.000 6.501 0.000
0.000 0.000 7.716
Cs Ru Mg Ba
2 1 1 1
Direct
0.000 0.000 0.500
0.500 0.000 0.000
0.500 0.500 0.500
0.000 0.500 0.000
0.000 0.000 0.000



(9)
CsBa2SrMg PBE optimized geometry; ρ = 3.064 g/cm³; SG = P4/mmm, No. 123; N(E_F) = 4.50 states/eV/cell; relative energy among the computed polymorphs = 435 meV per atom; E_form = 0.60 eV per atom
1.0
-0.833 2.079 6.369
-0.537 -5.870 1.846
6.674 -0.305 0.972
Cs Sr Mg Ba
1 1 1 2
Direct
0.000 0.000 0.000
0.500 0.500 0.500
0.000 0.500 0.000
0.000 0.000 0.500
0.500 0.000 0.000



(10)
CsBa2SrMg PBE optimized geometry; ρ = 2.536 g/cm³; SG = P4/mmm, No. 123; N(E_F) = 6.37 states/eV/cell; relative energy among the computed polymorphs = 0 meV per atom; E_form = 0.17 eV per atom
1.0
7.028 0.000 0.000
0.000 7.028 0.000
0.000 0.000 6.887
Cs Sr Mg Ba
1 1 1 2
Direct
0.500 0.500 0.500
0.000 0.000 0.500
0.000 0.000 0.000
0.000 0.500 0.000
0.500 0.000 0.000



(11)
CsBaMg2V PBE optimized geometry; ρ = 2.660 g/cm³; SG = P4/mmm, No. 123; N(E_F) = 5.93 states/eV/cell; E_form = 1.24 eV per atom
1.0
6.347 0.000 0.000
0.000 5.731 0.000
0.000 0.000 6.347
Cs Mg Ba V
1 2 1 1
Direct
0.000 0.000 0.000
0.000 0.000 0.500
0.500 0.000 0.000
0.500 0.500 0.500
0.000 0.500 0.000



(12)
CsBaYMg2 PBE optimized geometry; ρ = 2.481 g/cm³; SG = P4/mmm, No. 123; N(E_F) = 5.08 states/eV/cell; E_form = 0.83 eV per atom
1.0
6.557 0.000 0.000
0.000 6.346 0.000
0.000 0.000 6.557
Cs Y Mg Ba
1 1 2 1
Direct
0.500 0.500 0.500
0.000 0.500 0.000
0.000 0.000 0.500
0.500 0.000 0.000
0.000 0.000 0.000



- Number 1 is which compound?
  CsBa2Mg



- The highest E_form belongs to which entry?
  Cs2BaMgRu



- Look up the E_form of the first one.
  0.18 eV per atom